# 1
Compound: PuCo3SiB
Source: the Alexandria database
Functional: PBE
Structure: optimized geometry

Crystal system ... orthorhombic
Formation energy from raw total energies ... -0.33 eV/atom
M_tot ... 3.95 μB per formula unit
VASP energy ... -0.3046 hartree per atom

a b c (Å): 5.620 5.191 6.004
angles (deg): 115.61 90.00 90.00
Each line ends with the local moment (μB).
Fractional coordinates of all 12 atoms:
Pu 0.750 0.268 0.535  4.92
Pu 0.250 0.732 0.465  4.92
Co 0.250 0.170 0.340  -1.00
Co 0.000 0.250 0.000  -0.08
Co 0.500 0.750 0.000  -0.08
Co 0.500 0.250 0.000  -0.08
Co 0.000 0.750 0.000  -0.08
Co 0.750 0.830 0.660  -1.00
Si 0.250 0.379 0.757  -0.02
Si 0.750 0.621 0.243  -0.02
B 0.250 0.983 0.965  0.00
B 0.750 0.017 0.035  0.00

# 2
Compound: Pu2ZnCo5B2
Source: the Alexandria database
Functional: PBE
Structure: optimized geometry

Crystal system ... tetragonal
DFT formation energy ... -0.1921 eV/atom
M_tot ... 8.27 μB per formula unit
VASP energy ... -0.2967 hartree per atom

a b c (Å): 3.039 9.049 9.049
angles (deg): 90.00 90.00 90.00
Each line ends with the local moment (μB).
Fractional coordinates of all 20 atoms:
Pu 0.000 0.679 0.179  4.66
Pu 0.000 0.321 0.821  4.66
Pu 0.000 0.179 0.321  4.66
Pu 0.000 0.821 0.679  4.66
Zn 0.000 0.000 0.000  -0.01
Zn 0.000 0.500 0.500  -0.01
Co 0.500 0.231 0.069  -0.23
Co 0.500 0.769 0.931  -0.23
Co 0.500 0.069 0.769  -0.23
Co 0.500 0.731 0.431  -0.23
Co 0.500 0.931 0.231  -0.23
Co 0.500 0.269 0.569  -0.23
Co 0.500 0.569 0.731  -0.23
Co 0.500 0.431 0.269  -0.23
Co 0.500 0.500 0.000  -0.22
Co 0.500 0.000 0.500  -0.22
B 0.000 0.117 0.617  -0.01
B 0.000 0.883 0.383  -0.01
B 0.000 0.617 0.883  -0.01
B 0.000 0.383 0.117  -0.01

# 3
Compound: RbCo3B
Source: the Alexandria database
Functional: PBE
Structure: optimized geometry

Crystal system ... cubic
DFT formation energy ... 3.3602 eV/atom
M_tot ... 3.42 μB per formula unit
VASP energy ... -0.0894 hartree per atom

a b c (Å): 4.557 4.557 4.557
angles (deg): 90.00 90.00 90.00
Each line ends with the local moment (μB).
Fractional coordinates of all 5 atoms:
B 0.500 0.500 0.500  -0.09
Co 0.000 0.500 0.000  1.41
Co 0.000 0.000 0.500  1.09
Co 0.500 0.000 0.000  1.31
Rb 0.000 0.000 0.000  -0.03

# 4
Compound: RbCoB2
Source: the Alexandria database
Functional: PBE
Structure: optimized geometry

Crystal system ... cubic
DFT formation energy ... 2.2949 eV/atom
M_tot ... 1.13 μB per formula unit
VASP energy ... -0.1125 hartree per atom

a b c (Å): 4.428 4.428 4.428
angles (deg): 60.00 60.00 60.00
Each line ends with the local moment (μB).
Fractional coordinates of all 4 atoms:
B 0.250 0.250 0.250  -0.04
B 0.750 0.750 0.750  -0.04
Co 0.000 0.000 0.000  1.30
Rb 0.500 0.500 0.500  -0.02

# 5
Compound: RbCoB2
Source: the Alexandria database
Functional: PBE
Structure: optimized geometry

Crystal system ... cubic
DFT formation energy ... 0.4965 eV/atom
M_tot ... 0.00 μB per formula unit
VASP energy ... -0.1786 hartree per atom

a b c (Å): 6.007 6.007 6.006
angles (deg): 59.99 59.99 90.00
Fractional coordinates of all 8 atoms:
B 0.375 0.125 0.250
B 0.375 0.625 0.250
B 0.375 0.625 0.750
B 0.875 0.625 0.750
Co 0.500 0.500 0.000
Co 0.250 0.750 0.500
Rb 0.000 0.000 0.000
Rb 0.750 0.250 0.500

# 6
Compound: RbCo3B
Source: the Alexandria database
Functional: PBE
Structure: optimized geometry

Crystal system ... cubic
DFT formation energy ... 0.8999 eV/atom
M_tot ... 2.70 μB per formula unit
VASP energy ... -0.1798 hartree per atom

a b c (Å): 4.117 4.117 4.117
angles (deg): 90.00 90.00 90.00
Each line ends with the local moment (μB).
Fractional coordinates of all 5 atoms:
B 0.000 0.000 0.000  -0.10
Co 0.000 0.500 0.000  1.12
Co 0.000 0.000 0.500  1.05
Co 0.500 0.000 0.000  0.83
Rb 0.500 0.500 0.500  -0.03

# 7
Compound: RbCo2B
Source: the Alexandria database
Functional: PBE
Structure: optimized geometry

Crystal system ... tetragonal
DFT formation energy ... 0.8205 eV/atom
M_tot ... 1.67 μB per formula unit
VASP energy ... -0.1707 hartree per atom

a b c (Å): 6.111 6.111 6.089
angles (deg): 59.88 59.88 90.00
Each line ends with the local moment (μB).
Fractional coordinates of all 8 atoms:
B 0.500 0.500 0.000  -0.08
B 0.250 0.750 0.500  -0.08
Co 0.375 0.125 0.250  0.91
Co 0.375 0.625 0.250  0.88
Co 0.375 0.625 0.750  0.93
Co 0.875 0.625 0.750  0.91
Rb 0.000 0.000 0.000  -0.01
Rb 0.750 0.250 0.500  -0.01

# 8
Compound: RbCo2SiB
Source: the Alexandria database
Functional: PBE
Structure: optimized geometry

Crystal system ... tetragonal
Formation energy from raw total energies ... 0.93 eV/atom
M_tot ... 2.22 μB per formula unit
VASP energy ... -0.1664 hartree per atom

a b c (Å): 4.384 3.936 4.384
angles (deg): 90.00 90.00 90.00
Each line ends with the local moment (μB).
Fractional coordinates of all 5 atoms:
Si 0.000 0.500 0.000  -0.03
B 0.000 0.000 0.000  -0.02
Co 0.000 0.000 0.500  1.02
Co 0.500 0.000 0.000  1.49
Rb 0.500 0.500 0.500  -0.03

# 9
Compound: RbVCoB2
Source: the Alexandria database
Functional: PBE
Structure: optimized geometry

Crystal system ... tetragonal
DFT formation energy ... 3.4411 eV/atom
M_tot ... 0.85 μB per formula unit
VASP energy ... -0.0981 hartree per atom

a b c (Å): 4.449 4.370 4.449
angles (deg): 90.00 90.00 90.00
Each line ends with the local moment (μB).
Fractional coordinates of all 5 atoms:
B 0.000 0.000 0.500  0.00
B 0.500 0.000 0.000  -0.02
Co 0.000 0.500 0.000  0.92
Rb 0.000 0.000 0.000  -0.01
V 0.500 0.500 0.500  0.02

# 10
Compound: RbZn2CoB
Source: the Alexandria database
Functional: PBE
Structure: optimized geometry

Crystal system ... tetragonal
DFT formation energy ... 2.3660 eV/atom
M_tot ... 3.07 μB per formula unit
VASP energy ... -0.0402 hartree per atom

a b c (Å): 6.843 6.843 6.411
angles (deg): 90.00 90.00 90.00
Each line ends with the local moment (μB).
Fractional coordinates of all 5 atoms:
Zn 0.000 0.500 0.000  0.00
Zn 0.500 0.000 0.000  0.00
B 0.500 0.500 0.500  0.35
Co 0.000 0.000 0.500  2.11
Rb 0.000 0.000 0.000  0.00

# 11
Compound: CoReB
Source: the Alexandria database
Functional: PBE
Structure: optimized geometry

Crystal system ... monoclinic
DFT formation energy ... -0.1418 eV/atom
M_tot ... 0.00 μB per formula unit
VASP energy ... -0.3265 hartree per atom

a b c (Å): 5.270 4.440 7.373
angles (deg): 90.00 134.29 90.00
Fractional coordinates of all 12 atoms:
Re 0.579 0.000 0.889
Re 0.579 0.500 0.389
Re 0.266 0.000 0.060
Re 0.266 0.500 0.560
B 0.758 0.279 0.214
B 0.758 0.721 0.214
B 0.758 0.779 0.714
B 0.758 0.221 0.714
Co 0.213 0.000 0.374
Co 0.213 0.500 0.874
Co 0.926 0.000 0.553
Co 0.926 0.500 0.053

# 12
Compound: CoReB2
Source: the Alexandria database
Functional: PBE
Structure: optimized geometry

Crystal system ... cubic
DFT formation energy ... 0.2036 eV/atom
M_tot ... 0.00 μB per formula unit
VASP energy ... -0.2949 hartree per atom

a b c (Å): 3.733 3.733 3.733
angles (deg): 60.00 60.00 60.00
Fractional coordinates of all 4 atoms:
Re 0.500 0.500 0.500
B 0.250 0.250 0.250
B 0.750 0.750 0.750
Co 0.000 0.000 0.000

# 13
Compound: CoReB
Source: the Alexandria database
Functional: PBE
Structure: optimized geometry

Crystal system ... monoclinic
DFT formation energy ... -0.1476 eV/atom
M_tot ... 0.87 μB per formula unit
VASP energy ... -0.3268 hartree per atom

a b c (Å): 5.209 4.551 7.472
angles (deg): 90.00 134.53 90.00
Each line ends with the local moment (μB).
Fractional coordinates of all 12 atoms:
Re 0.018 0.000 0.341  0.01
Re 0.982 0.000 0.659  0.01
Re 0.018 0.500 0.841  0.01
Re 0.982 0.500 0.159  0.01
B 0.500 0.712 0.500  -0.01
B 0.500 0.288 0.500  -0.01
B 0.500 0.212 0.000  -0.01
B 0.500 0.788 0.000  -0.01
Co 0.644 0.000 0.817  0.88
Co 0.356 0.000 0.183  0.88
Co 0.644 0.500 0.317  0.88
Co 0.356 0.500 0.683  0.88

# 14
Compound: Co2ReB2
Source: the Alexandria database
Functional: PBE
Structure: optimized geometry

Crystal system ... tetragonal
DFT formation energy ... -0.0846 eV/atom
M_tot ... 0.00 μB per formula unit
VASP energy ... -0.2972 hartree per atom

a b c (Å): 6.062 6.062 2.534
angles (deg): 90.00 90.00 90.00
Fractional coordinates of all 10 atoms:
Re 0.000 0.000 0.000
Re 0.500 0.500 0.000
B 0.355 0.855 0.000
B 0.855 0.645 0.000
B 0.645 0.145 0.000
B 0.145 0.355 0.000
Co 0.149 0.649 0.500
Co 0.649 0.851 0.500
Co 0.851 0.351 0.500
Co 0.351 0.149 0.500

# 15
Compound: CoReB
Source: the Alexandria database
Functional: PBE
Structure: optimized geometry

Crystal system ... triclinic
DFT formation energy ... -0.1219 eV/atom
M_tot ... 0.00 μB per formula unit
VASP energy ... -0.3258 hartree per atom

a b c (Å): 3.043 4.202 5.174
angles (deg): 102.56 107.21 89.98
Fractional coordinates of all 6 atoms:
Re 0.367 0.685 0.226
Re 0.633 0.315 0.774
B 0.271 0.127 0.040
B 0.729 0.873 0.960
Co 0.070 0.780 0.653
Co 0.930 0.220 0.347

# 16
Compound: CoReB2
Source: the Alexandria database
Functional: PBE
Structure: optimized geometry

Crystal system ... tetragonal
DFT formation energy ... 0.5565 eV/atom
M_tot ... 0.00 μB per formula unit
VASP energy ... -0.2819 hartree per atom

a b c (Å): 3.480 3.480 7.297
angles (deg): 76.20 76.20 90.00
Fractional coordinates of all 8 atoms:
Re 0.000 0.000 0.000
Re 0.750 0.250 0.500
B 0.476 0.125 0.250
B 0.274 0.625 0.250
B 0.375 0.524 0.750
B 0.875 0.726 0.750
Co 0.500 0.500 0.000
Co 0.250 0.750 0.500

# 17
Compound: CoReB
Source: the Alexandria database
Functional: PBE
Structure: optimized geometry

Crystal system ... orthorhombic
DFT formation energy ... -0.0618 eV/atom
M_tot ... 0.76 μB per formula unit
VASP energy ... -0.3236 hartree per atom

a b c (Å): 2.925 3.324 6.598
angles (deg): 104.59 90.00 90.00
Each line ends with the local moment (μB).
Fractional coordinates of all 6 atoms:
Co 0.750 0.294 0.588  0.82
Co 0.250 0.706 0.412  0.82
Re 0.250 0.907 0.815  -0.04
Re 0.750 0.093 0.185  -0.04
B 0.250 0.540 0.079  -0.01
B 0.750 0.460 0.921  -0.01

# 18
Compound: CoReB
Source: the Alexandria database
Functional: PBE
Structure: optimized geometry

Crystal system ... triclinic
DFT formation energy ... -0.1349 eV/atom
M_tot ... 0.00 μB per formula unit
VASP energy ... -0.3263 hartree per atom

a b c (Å): 3.719 4.088 4.399
angles (deg): 76.97 80.99 89.71
Fractional coordinates of all 6 atoms:
Re 0.202 0.451 0.712
Re 0.798 0.549 0.288
B 0.826 0.101 0.104
B 0.174 0.899 0.896
Co 0.300 0.044 0.302
Co 0.700 0.956 0.698

# 19
Compound: CoRe3B
Source: the Alexandria database
Functional: PBE
Structure: optimized geometry

Crystal system ... cubic
DFT formation energy ... 0.4232 eV/atom
M_tot ... 0.00 μB per formula unit
VASP energy ... -0.3602 hartree per atom

a b c (Å): 4.055 4.055 4.055
angles (deg): 90.00 90.00 90.00
Fractional coordinates of all 5 atoms:
Re 0.000 0.500 0.000
Re 0.000 0.000 0.500
Re 0.500 0.000 0.000
B 0.000 0.000 0.000
Co 0.500 0.500 0.500

# 20
Compound: Co3ReB4
Source: the Alexandria database
Functional: PBE
Structure: optimized geometry

Crystal system ... monoclinic
DFT formation energy ... -0.3021 eV/atom
M_tot ... 0.00 μB per formula unit
VASP energy ... -0.2889 hartree per atom

a b c (Å): 3.033 4.118 5.416
angles (deg): 88.55 90.00 90.00
Fractional coordinates of all 8 atoms:
Co 0.000 0.870 0.827
Co 0.500 0.372 0.680
Co 0.500 0.126 0.173
Re 0.000 0.631 0.320
B 0.000 0.129 0.480
B 0.000 0.366 0.956
B 0.500 0.900 0.549
B 0.500 0.606 0.015